First-principles (PBE) data for a relaxed structure of Ba6Hg2Pt3, as listed in the Alexandria database.

Results
Magnetic moment   0.00 μB per cell
Raw total energy   -37.02 eV/cell
Calculated volume   41.67 Å³ per atom

The structure in POSCAR format:
```
Ba6Hg2Pt3
1.0
7.6954 0.0000 2.2848
3.8477 6.9392 1.1424
0.2090 0.0000 8.6466
Hg Pt Ba
2 3 6
direct
0.8334 0.3331 0.5000
0.1666 0.6669 0.5000
0.0000 0.0000 0.0000
0.3344 0.3313 0.0000
0.6656 0.6687 0.0000
0.4024 0.6628 0.7920
0.2604 0.0000 0.2074
0.0652 0.3372 0.7920
0.7396 0.0000 0.7926
0.5976 0.3372 0.2080
0.9348 0.6628 0.2080
```

---

First-principles (PBE) data for a relaxed structure of CdAs2Ru, as listed in the Alexandria database.

Results
Magnetic moment   0.00 μB per cell
Raw total energy   -17.97 eV/cell
Calculated volume   17.46 Å³ per atom

The structure in POSCAR format:
```
CdAs2Ru
1.0
5.1844 0.0137 0.0000
2.0676 4.7543 0.0000
-3.6260 -2.3840 2.8367
Cd As Ru
1 2 1
direct
0.5000 0.5000 0.0000
0.0000 0.0000 0.0000
0.2500 0.7500 0.5000
0.7500 0.2500 0.5000
```

---

First-principles (PBE) data for a relaxed structure of CeBiPbO6, as listed in the Alexandria database.

Results
Magnetic moment   0.00 μB per cell
Formation energy from raw total energies   -14.12 eV/f.u.
Raw total energy   -114.78 eV/cell
Calculated volume   15.37 Å³ per atom

The structure in POSCAR format:
```
CeBiPbO6
1.0
5.8090 0.0000 0.0000
-2.9045 5.0307 0.0000
0.0000 0.0000 9.4671
Ce Pb Bi O
2 2 2 12
direct
0.6667 0.3333 0.7500
0.3333 0.6667 0.2500
0.0000 0.0000 0.0000
0.0000 0.0000 0.5000
0.6667 0.3333 0.2500
0.3333 0.6667 0.7500
0.3291 0.9949 0.6280
0.9949 0.6658 0.3720
0.0051 0.6709 0.8720
0.3342 0.3291 0.3720
0.3291 0.3342 0.8720
0.6658 0.6709 0.6280
0.6658 0.9949 0.8720
0.0051 0.3342 0.6280
0.6709 0.6658 0.1280
0.6709 0.0051 0.3720
0.3342 0.0051 0.1280
0.9949 0.3291 0.1280
```

---

First-principles (PBE) data for a relaxed structure of Ta8TiGa6, as listed in the Alexandria database.

Results
Magnetic moment   0.00 μB per cell
Raw total energy   -117.88 eV/cell
Calculated volume   18.26 Å³ per atom

The structure in POSCAR format:
```
Ta8TiGa6
1.0
-0.5054 5.4667 5.2999
2.4492 -1.3339 7.1028
5.5906 3.1620 2.7650
Ti Ga Ta
1 6 8
direct
0.0000 0.0000 0.0000
0.2649 0.6500 0.1742
0.0891 0.7351 0.8258
0.3500 0.0891 0.8258
0.6500 0.9109 0.1742
0.7351 0.3500 0.8258
0.9109 0.2649 0.1742
0.0550 0.5217 0.6534
0.4783 0.2301 0.3466
0.3377 0.3377 0.9868
0.9450 0.4783 0.3466
0.6623 0.6623 0.0132
0.5217 0.7699 0.6534
0.2301 0.9450 0.3466
0.7699 0.0550 0.6534
```

---

First-principles (PBE) data for a relaxed structure of AcLaEuHg, as listed in the Alexandria database.

Results
Magnetic moment   8.75 μB per cell
Raw total energy   -19.65 eV/cell
Calculated volume   34.07 Å³ per atom

The structure in POSCAR format:
```
AcLaEuHg
1.0
5.7765 0.0000 0.0000
2.8882 5.0026 0.0000
2.8882 1.6675 4.7165
Eu Hg La Ac
1 1 1 1
direct
0.7500 0.7500 0.7500
0.5000 0.5000 0.5000
0.2500 0.2500 0.2500
0.0000 0.0000 0.0000
```

---

First-principles (PBE) data for a relaxed structure of ScTa2CrP, as listed in the Alexandria database.

Results
Magnetic moment   0.00 μB per cell
Raw total energy   -40.87 eV/cell
Calculated volume   20.14 Å³ per atom

The structure in POSCAR format:
```
ScTa2CrP
1.0
4.4904 0.0000 0.0000
0.0000 4.9953 0.0000
0.0000 0.0000 4.4904
Ta Cr P Sc
2 1 1 1
direct
0.5000 0.0000 0.0000
0.0000 0.0000 0.5000
0.0000 0.0000 0.0000
0.5000 0.5000 0.5000
0.0000 0.5000 0.0000
```

---

First-principles (PBE) data for a relaxed structure of TbSc3, as listed in the Alexandria database.

Results
Magnetic moment   0.00 μB per cell
Raw total energy   -23.53 eV/cell
Calculated volume   26.34 Å³ per atom
Relative energy among the computed polymorphs   0.000 eV per atom

The structure in POSCAR format:
```
TbSc3
1.0
3.4037 0.0000 0.0000
0.0000 5.8587 0.0000
-1.7018 -2.9293 5.2829
Sc Tb
3 1
direct
0.2452 0.5815 0.4904
0.5000 0.4998 0.0000
0.7548 0.0911 0.5096
0.0000 0.9943 0.0000
```

---

First-principles (PBE) data for a relaxed structure of Cs2CrIrI6, as listed in the Alexandria database.

Results
Magnetic moment   5.00 μB per cell
Formation energy from raw total energies   -5.68 eV/f.u.
Raw total energy   -35.17 eV/cell
Calculated volume   37.42 Å³ per atom

The structure in POSCAR format:
```
Cs2CrIrI6
1.0
-1.9159 5.1482 -5.9292
-0.8849 -6.2058 -5.1024
-6.9296 -0.9259 -4.0739
Ir Cr I Cs
1 1 6 2
direct
0.0000 0.0000 0.0000
0.5000 0.5000 0.0000
0.7579 0.2421 0.0000
0.7589 0.7589 0.4823
0.7579 0.7579 0.0000
0.2421 0.7579 0.0000
0.2411 0.2411 0.5177
0.2421 0.2421 0.0000
0.7500 0.2500 0.5000
0.2500 0.7500 0.5000
```

---

First-principles (PBE) data for a relaxed structure of RbBi3O8, as listed in the Alexandria database.

Results
Magnetic moment   0.22 μB per cell
Formation energy from raw total energies   -7.74 eV/f.u.
Raw total energy   -60.02 eV/cell
Calculated volume   19.97 Å³ per atom

The structure in POSCAR format:
```
RbBi3O8
1.0
5.9430 0.0000 0.0000
-2.9715 5.1468 0.0000
0.0000 0.0000 7.8340
O Bi Rb
8 3 1
direct
0.0723 0.3612 0.8801
0.6388 0.7112 0.8801
0.9277 0.6388 0.1199
0.3333 0.6667 0.3292
0.6667 0.3333 0.6708
0.7112 0.0723 0.1199
0.2888 0.9277 0.8801
0.3612 0.2888 0.1199
0.3333 0.6667 0.0737
0.6667 0.3333 0.9263
0.0000 0.0000 0.0000
0.0000 0.0000 0.5000
```

---

First-principles (PBE) data for a relaxed structure of CeHoPdAu, as listed in the Alexandria database.

Results
Magnetic moment   0.82 μB per cell
Raw total energy   -21.86 eV/cell
Calculated volume   23.27 Å³ per atom

The structure in POSCAR format:
```
CeHoPdAu
1.0
-2.7261 4.2327 0.7289
-5.0787 -0.2421 0.1631
-2.4410 0.7265 4.4037
Ce Pd Au Ho
1 1 1 1
direct
0.2500 0.2500 0.2500
0.5000 0.5000 0.5000
0.0000 0.0000 0.0000
0.7500 0.7500 0.7500
```

---

First-principles (PBE) data for a relaxed structure of Ca3PrZn4, as listed in the Alexandria database.

Results
Magnetic moment   0.00 μB per cell
Raw total energy   -36.01 eV/cell
Calculated volume   25.04 Å³ per atom

The structure in POSCAR format:
```
Ca3PrZn4
1.0
-1.4862 -4.0478 -3.0123
4.4768 -4.3651 3.6568
-7.7134 -2.2217 6.7908
Zn Ca Pr
8 6 2
direct
0.0004 0.2536 0.2500
0.5000 0.7466 0.5000
0.9996 0.7464 0.7500
0.5000 0.2534 0.0000
0.5000 0.7466 0.0000
0.9996 0.2536 0.7500
0.5000 0.2534 0.5000
0.0004 0.7464 0.2500
0.5003 0.0000 0.2500
0.0000 0.0000 0.0000
0.4997 0.5000 0.7500
0.0000 0.0000 0.5000
0.4997 0.0000 0.7500
0.5003 0.5000 0.2500
0.0000 0.5000 0.0000
0.0000 0.5000 0.5000
```

---

First-principles (PBE) data for a relaxed structure of BaNa6I8, as listed in the Alexandria database.

Results
Magnetic moment   0.00 μB per cell
Formation energy from raw total energies   -20.11 eV/f.u.
Raw total energy   -42.35 eV/cell
Calculated volume   38.64 Å³ per atom

The structure in POSCAR format:
```
BaNa6I8
1.0
-6.1645 3.2127 -6.2659
-8.6705 2.2613 2.7006
-2.6435 8.9750 0.2135
I Na Ba
8 6 1
direct
0.7421 0.2579 0.2579
0.2500 0.2500 0.2500
0.2579 0.7421 0.2579
0.7500 0.7500 0.7500
0.2579 0.2579 0.7421
0.7421 0.2579 0.7421
0.7421 0.7421 0.2579
0.2579 0.7421 0.7421
0.5000 0.0000 0.0000
0.5000 0.5000 0.0000
0.0000 0.0000 0.5000
0.0000 0.5000 0.5000
0.0000 0.5000 0.0000
0.5000 0.0000 0.5000
0.0000 0.0000 0.0000
```